Record 1
{
  "formula": "Fe7Se6",
  "functional": "GGA-PBE",
  "state": "relaxed",
  "lattice": [[2.524, 1.457, 11.184], [-2.524, 1.457, 11.184], [0.000, -2.914, 11.184]],
  "species": ["Fe", "Fe", "Fe", "Fe", "Fe", "Fe", "Fe", "Se", "Se", "Se", "Se", "Se", "Se"],
  "fractional_positions": [[0.000, 0.000, 0.000], [0.092, 0.092, 0.599], [0.092, 0.599, 0.092], [0.401, 0.908, 0.908], [0.599, 0.092, 0.092], [0.908, 0.401, 0.908], [0.908, 0.908, 0.401], [0.129, 0.129, 0.129], [0.317, 0.317, 0.317], [0.421, 0.421, 0.421], [0.579, 0.579, 0.579], [0.683, 0.683, 0.683], [0.871, 0.871, 0.871]],
  "raw_formation_energy_ev_per_atom": 0.024
}

=====

Record 2
{
  "formula": "Cu2Ag",
  "functional": "GGA-PBE",
  "state": "relaxed",
  "lattice": [[-1.655, 1.655, 8.515], [1.655, -1.655, 8.515], [1.655, 1.655, -8.515]],
  "species": ["Cu", "Cu", "Cu", "Cu", "Ag", "Ag"],
  "fractional_positions": [[0.300, 0.550, 0.750], [0.450, 0.700, 0.750], [0.550, 0.300, 0.250], [0.700, 0.450, 0.250], [0.125, 0.875, 0.250], [0.875, 0.125, 0.750]],
  "de_polymorph_mev_per_atom": 275
}

=====

Record 3
{
  "formula": "LiSc2InC",
  "functional": "GGA-PBE",
  "state": "relaxed",
  "lattice": [[4.499, 0.000, 0.000], [0.000, 4.499, 0.000], [0.000, 0.000, 4.450]],
  "species": ["Li", "Sc", "Sc", "In", "C"],
  "fractional_positions": [[0.000, 0.000, 0.000], [0.000, 0.500, 0.500], [0.500, 0.000, 0.500], [0.500, 0.500, 0.000], [0.000, 0.000, 0.500]]
}

=====

Record 4
{
  "formula": "PrNdTm2",
  "functional": "GGA-PBE",
  "state": "relaxed",
  "lattice": [[1.805, 1.042, 11.636], [-1.805, 1.042, 11.636], [0.000, -2.084, 11.636]],
  "species": ["Pr", "Nd", "Tm", "Tm"],
  "fractional_positions": [[0.000, 0.000, 0.000], [0.834, 0.834, 0.834], [0.250, 0.250, 0.250], [0.418, 0.418, 0.418]],
  "de_polymorph_mev_per_atom": 10
}

=====

Record 5
{
  "formula": "Tb4CuSeS2",
  "functional": "GGA-PBE",
  "state": "relaxed",
  "lattice": [[6.971, 0.000, 0.000], [0.000, 3.927, 0.000], [-2.238, 0.000, 6.626]],
  "species": ["Tb", "Tb", "Tb", "Tb", "Cu", "Se", "S", "S"],
  "fractional_positions": [[0.241, 0.000, 0.238], [0.246, 0.500, 0.754], [0.754, 0.500, 0.246], [0.759, 0.000, 0.762], [0.000, 0.000, 0.500], [0.500, 0.500, 0.500], [0.000, 0.500, 0.000], [0.500, 0.000, 0.000]],
  "raw_formation_energy_ev_per_atom": -1.486
}

=====

Record 6
{
  "formula": "TaCdTeAs2",
  "functional": "GGA-PBE",
  "state": "relaxed",
  "lattice": [[4.986, 0.000, 0.000], [0.000, 4.986, 0.000], [0.000, 0.000, 5.468]],
  "species": ["Ta", "Cd", "Te", "As", "As"],
  "fractional_positions": [[0.000, 0.000, 0.000], [0.000, 0.000, 0.500], [0.500, 0.500, 0.000], [0.000, 0.500, 0.500], [0.500, 0.000, 0.500]],
  "raw_formation_energy_ev_per_atom": 1.428
}

=====

| no. | total magnetization (μB/f.u.) | raw total energy (hartree per atom) |
| --- | --- | --- |
| 1 | 18.38 | -0.22567 |
| 2 | 0.00 | -0.12293 |
| 3 | 0.00 | -0.20612 |
| 4 | 0.00 | -0.16884 |
| 5 | 0.00 | -0.21244 |
| 6 | 2.06 | -0.13282 |